# 1
A plane-wave DFT calculation with GGA-PBE was carried out for crystalline Tb3Er2ScBi6 at its relaxed geometry.

Summary:
crystal system	monoclinic
DOS at the Fermi energy	0.171	states/eV/atom
E_form	-0.82	eV per atom
M_tot	0.0	μB per cell

Structure (extended XYZ):
```
12
Lattice="-2.4773 -2.0399 3.0722 -3.8580 -4.8743 -6.3473 8.8613 -4.3528 1.0431" Properties=species:S:1:pos:R:3 pbc="T T T"
Er 1.2449 -3.4028 -1.2555
Tb -3.1677 -3.4571 -1.6375
Er 1.2811 -7.8642 -0.9765
Tb -0.6544 -5.8734 -4.4274
Sc -1.2386 -1.0199 1.5361
Bi 5.4569 -7.5576 2.5943
Bi -0.9286 -5.6545 -1.2910
Tb 3.1804 -5.3936 2.1955
Bi 3.4545 -5.6125 -0.9410
Bi -2.9310 -3.7094 -4.8263
Bi 1.6102 -8.0972 -4.0779
Bi 0.9158 -3.1698 1.8459
```

***

# 2
A plane-wave DFT calculation with GGA-PBE was carried out for crystalline La3GaGe6Pd2 at its relaxed geometry.

Summary:
crystal system	trigonal
DOS at the Fermi energy	0.266	states/eV/atom
E_form	-0.45	eV per atom
M_tot	0.0	μB per cell

Structure (extended XYZ):
```
12
Lattice="-1.7457 -2.5435 -5.1878 -3.3040 -0.7570 4.9940 -4.5422 7.0629 -1.9344" Properties=species:S:1:pos:R:3 pbc="T T T"
Ge -4.5891 4.0264 -2.4257
La -4.0098 0.7650 -2.5369
Ge -5.0027 -0.2640 0.2976
La -5.5820 2.9974 0.4088
Ga -2.2711 3.5314 -0.9672
Pd -2.8850 -1.1963 1.5573
Pd -6.7068 4.9586 -3.6854
Ge -6.7683 2.6020 -2.5093
Ge -4.2494 0.8336 2.5364
Ge -5.3424 2.9287 -4.6646
Ge -2.8235 1.1604 0.3812
La 0.0000 0.0000 0.0000
```

***

# 3
A plane-wave DFT calculation with GGA-PBE was carried out for crystalline ZnCdCu2 at its relaxed geometry.

Summary:
crystal system	cubic
DOS at the Fermi energy	0.281	states/eV/atom
E_form	0.03	eV per atom
M_tot	0.0	μB per cell

Structure (extended XYZ):
```
4
Lattice="1.2594 -3.3629 2.4951 -2.9912 -2.6804 1.7289 -0.3889 -4.0930 -1.4887" Properties=species:S:1:pos:R:3 pbc="T T T"
Cu -0.5302 -2.5341 0.6838
Zn 0.0000 0.0000 0.0000
Cd -1.0603 -5.0681 1.3676
Cu -1.5905 -7.6022 2.0514
```